Entry 1:
A geometry-optimized AcBi2Pb structure, computed with PBE.

Output
Energy above the most stable polymorph in this dataset   177 meV/atom
Crystal system   trigonal

a b c (Å): 5.0711 5.0711 21.3721
angles (deg): 90.00 90.00 120.00
Space group R3m (No. 160, hexagonal axes)
Unique sites:
Ac1 0.0000 0.0000 0.0000 [3 per cell]
Bi1 0.0000 0.0000 0.4197 [3 per cell]
Bi2 0.0000 0.0000 0.5812 [3 per cell]
Pb1 0.0000 0.0000 0.8244 [3 per cell]

---

Entry 2:
A geometry-optimized Ac12Bi2Pb5 structure, computed with PBE.

Output
Crystal system   monoclinic

a b c (Å): 18.837 8.581 10.774
angles (deg): 90.00 103.65 90.00
Space group C2/m (No. 12)
Unique sites:
Ac1 0.010 0.000 0.244 [4 per cell]
Ac2 0.074 0.500 0.815 [4 per cell]
Ac3 0.139 0.232 0.557 [8 per cell]
Ac4 0.180 0.235 0.107 [8 per cell]
Bi1 0.000 0.258 0.000 [4 per cell]
Pb1 0.000 0.500 0.500 [2 per cell]
Pb2 0.175 0.000 0.831 [4 per cell]
Pb3 0.216 0.000 0.366 [4 per cell]

---

Entry 3:
A geometry-optimized Ac2BiPb structure, computed with PBE.

Output
Energy above the most stable polymorph in this dataset   182 meV/atom
Crystal system   cubic

a b c (Å): 8.363 8.363 8.363
angles (deg): 90.00 90.00 90.00
Space group Fm-3m (No. 225)
Unique sites:
Ac1 0.250 0.250 0.250 [8 per cell]
Bi1 0.000 0.000 0.000 [4 per cell]
Pb1 0.000 0.000 0.500 [4 per cell]

---

Entry 4:
A geometry-optimized AcBi2Pb structure, computed with PBE.

Output
Energy above the most stable polymorph in this dataset   125 meV/atom
Crystal system   cubic

a b c (Å): 8.211 8.211 8.211
angles (deg): 90.00 90.00 90.00
Space group Fm-3m (No. 225)
Unique sites:
Ac1 0.000 0.000 0.000 [4 per cell]
Bi1 0.250 0.250 0.250 [8 per cell]
Pb1 0.000 0.000 0.500 [4 per cell]

---

no.,ΔH_f (0 K) (eV per atom),E (eV/atom),total moment (μB per cell)
1,-0.33,-4.223,0.0
2,-0.32,-4.299,0.0
3,-0.58,-4.528,0.0
4,-0.38,-4.275,0.0